(1)
The following is a DFT calculation (PBE-GGA) of a relaxed structure of Tb4SbP2.

a = 6.9334 Å, b = 6.9334 Å, c = 13.5180 Å
α = 90.00°, β = 90.00°, γ = 145.50°
Last column: nearest neighbours and their distance in Å.
Fractional coordinates of all 14 atoms:
Tb (0.0000, 0.0000, 0.0000)  4 P 2.84
Tb (0.0000, 0.0000, 0.5000)  4 P 2.84
Tb (0.2651, 0.7349, 0.6162)  3 P 2.72-2.79
Tb (0.2651, 0.7349, 0.8838)  3 P 2.72-2.79
Tb (0.4382, 0.5618, 0.2500)  2 P 2.75, 2 Sb 3.05
Tb (0.5618, 0.4382, 0.7500)  2 P 2.75, 2 Sb 3.05
Tb (0.7349, 0.2651, 0.1162)  3 P 2.72-2.79
Tb (0.7349, 0.2651, 0.3838)  3 P 2.72-2.79
Sb (0.1085, 0.8915, 0.2500)  6 Tb 3.05-3.21
Sb (0.8915, 0.1085, 0.7500)  6 Tb 3.05-3.21
P (0.3654, 0.6346, 0.0594)  6 Tb 2.72-2.84
P (0.3654, 0.6346, 0.4406)  6 Tb 2.72-2.84
P (0.6346, 0.3654, 0.5594)  6 Tb 2.72-2.84
P (0.6346, 0.3654, 0.9406)  6 Tb 2.72-2.84

- Density: 7394 kg/m³
- Uncorrected formation energy: -1277 meV per atom
- E: -84.80 eV/cell
- Symmetry: Cmcm (63)
- Spin magnetization: 0.37 Bohr magnetons per cell

(2)
The following is a DFT calculation (PBE-GGA) of a relaxed structure of TbSbP2.

a = 8.1618 Å, b = 8.1618 Å, c = 8.1618 Å
α = 29.58°, β = 29.58°, γ = 29.58°
Last column: nearest neighbours and their distance in Å.
Fractional coordinates of all 4 atoms:
Tb (0.0000, 0.0000, 0.0000)  6 P 2.80
Sb (0.5000, 0.5000, 0.5000)  2 P 2.47
P (0.3944, 0.3944, 0.3944)  1 Sb 2.47
P (0.6056, 0.6056, 0.6056)  1 Sb 2.47

- Density: 4852 kg/m³
- Uncorrected formation energy: -150 meV per atom
- E: -20.17 eV/cell
- Symmetry: R-3m (166)
- Spin magnetization: 0.00 Bohr magnetons per cell

(3)
The following is a DFT calculation (PBE-GGA) of a relaxed structure of Tb3Sb2P.

a = 9.5609 Å, b = 9.5609 Å, c = 9.5609 Å
α = 154.07°, β = 154.07°, γ = 37.00°
Last column: nearest neighbours and their distance in Å.
Fractional coordinates of all 6 atoms:
Tb (0.0000, 0.0000, 0.0000)  4 P 3.03, 2 Sb 3.07
Tb (0.3444, 0.3444, 0.0000)  1 P 2.82, 4 Sb 3.04
Tb (0.6556, 0.6556, 0.0000)  1 P 2.82, 4 Sb 3.04
Sb (0.1692, 0.1692, 0.0000)  6 Tb 3.04-3.18
Sb (0.8308, 0.8308, 0.0000)  6 Tb 3.04-3.18
P (0.5000, 0.5000, 0.0000)  6 Tb 2.82-3.03

- Density: 7475 kg/m³
- Uncorrected formation energy: -1245 meV per atom
- E: -35.01 eV/cell
- Symmetry: I4/mmm (139)
- Relative energy among the computed polymorphs: 0.8 kJ/mol of atoms
- Spin magnetization: 0.00 Bohr magnetons per cell

Number 1: DOS(E_F) 9.2 states/eV/cell. Number 2: DOS(E_F) 1.9 states/eV/cell. Number 3: DOS(E_F) 1.0 states/eV/cell.